1.
{
  "formula": "AlTe3Pb",
  "functional": "PBE",
  "state": "optimized geometry",
  "cell": [[-5.5858, 0.3872, -1.7972], [-1.0166, -5.4404, 1.9875], [-1.5318, 2.1986, 5.2346]],
  "species": ["Te", "Te", "Pb", "Te", "Al"],
  "fractional_positions": [[0.0000, 0.0000, 0.5000], [0.0000, 0.5000, 0.0000], [0.0000, 0.0000, 0.0000], [0.5000, 0.0000, 0.0000], [0.5000, 0.5000, 0.5000]],
  "formation_energy_uncorrected_ev_per_atom": 0.606,
  "spacegroup": "Pm-3m, No. 221",
  "volume_a3_per_atom": 40.67,
  "relative_energy_mev_per_atom": 593,
  "magmom_total_mub_per_cell": 0.00
}

2.
{
  "formula": "Al4Te7Pb",
  "functional": "PBE",
  "state": "optimized geometry",
  "cell": [[6.9021, 0.0000, 0.0000], [0.0000, 7.3237, 0.0000], [0.0000, 0.0000, 16.9525]],
  "species": ["Te", "Te", "Al", "Al", "Al", "Al", "Te", "Pb", "Te", "Al", "Pb", "Te", "Te", "Te", "Te", "Te", "Te", "Al", "Te", "Te", "Te", "Te", "Al", "Al"],
  "fractional_positions": [[0.9677, 0.1715, 0.2423], [0.4549, 0.3298, 0.8823], [0.0761, 0.8209, 0.7464], [0.5761, 0.1791, 0.7536], [0.5862, 0.6613, 0.1247], [0.5761, 0.1791, 0.2464], [0.9927, 0.1346, 0.5000], [0.5436, 0.0386, 0.5000], [0.9677, 0.1715, 0.7577], [0.5862, 0.6613, 0.8753], [0.0436, 0.9614, 0.0000], [0.4549, 0.3298, 0.1177], [0.9743, 0.6559, 0.8796], [0.4743, 0.3441, 0.6204], [0.4677, 0.8285, 0.2577], [0.9549, 0.6702, 0.3823], [0.9743, 0.6559, 0.1204], [0.0862, 0.3387, 0.6247], [0.9549, 0.6702, 0.6177], [0.4677, 0.8285, 0.7423], [0.4743, 0.3441, 0.3796], [0.4927, 0.8654, 0.0000], [0.0761, 0.8209, 0.2536], [0.0862, 0.3387, 0.3753]],
  "formation_energy_uncorrected_ev_per_atom": -0.415,
  "spacegroup": "Pmn2_1, No. 31",
  "volume_a3_per_atom": 35.71,
  "magmom_total_mub_per_cell": 0.00
}